# 1
A geometry-optimized LaReIr2 structure, computed with GGA-PBE.

Summary:
Total magnetic moment, μB per atom: 0.097
Space group: No. 166

POSCAR file:
```
LaReIr2
1.0
2.8846 0.0000 0.0000
-1.4423 2.4981 0.0000
0.0000 0.0000 29.2652
La Re Ir
3 3 6
direct
0.0000 0.0000 0.0000 La
0.3333 0.6667 0.6667 La
0.6667 0.3333 0.3333 La
0.0000 0.0000 0.5000 Re
0.3333 0.6667 0.1667 Re
0.6667 0.3333 0.8333 Re
0.0000 0.0000 0.2385 Ir
0.0000 0.0000 0.7615 Ir
0.3333 0.6667 0.4282 Ir
0.3333 0.6667 0.9051 Ir
0.6667 0.3333 0.0949 Ir
0.6667 0.3333 0.5718 Ir
```

***

# 2
A geometry-optimized LaReIr structure, computed with GGA-PBE.

Summary:
Total magnetic moment, μB per atom: 0.002
Space group: No. 216

POSCAR file:
```
LaReIr
1.0
6.4251 0.0000 0.0000
0.0000 6.4251 0.0000
0.0000 0.0000 6.4251
La Re Ir
4 4 4
direct
0.0000 0.0000 0.0000 La
0.0000 0.5000 0.5000 La
0.5000 0.0000 0.5000 La
0.5000 0.5000 0.0000 La
0.2500 0.2500 0.7500 Re
0.2500 0.7500 0.2500 Re
0.7500 0.2500 0.2500 Re
0.7500 0.7500 0.7500 Re
0.0000 0.0000 0.5000 Ir
0.0000 0.5000 0.0000 Ir
0.5000 0.0000 0.0000 Ir
0.5000 0.5000 0.5000 Ir
```

***

# 3
A geometry-optimized LaRe2Ir structure, computed with GGA-PBE.

Summary:
Total magnetic moment, μB per atom: 0.000
Space group: No. 123

POSCAR file:
```
LaRe2Ir
1.0
4.8676 0.0000 0.0000
0.0000 4.8676 0.0000
0.0000 0.0000 3.0185
La Re Ir
1 2 1
direct
0.0000 0.0000 0.0000 La
0.0000 0.5000 0.5000 Re
0.5000 0.0000 0.5000 Re
0.5000 0.5000 0.0000 Ir
```

***

Total energy (eV/atom)
-8.49; -8.18; -8.87
ΔE to the lowest computed polymorph (kJ per mole of atoms)
36.8; 66.5; 65.0
ΔE_f (meV/atom)
283; 561; 801